No. 1
Below is a geometry-optimized VSi2Ni9 structure, with properties calculated at the PBE level.

a = 3.5244 Å, b = 3.5244 Å, c = 10.5548 Å
α = 90.00°, β = 90.00°, γ = 90.00°
Positions (direct):
1 Si 0.0000 0.0000 0.6626
2 Si 0.0000 0.0000 0.3374
3 Ni 0.5000 0.0000 0.5000
4 Ni 0.0000 0.5000 0.5000
5 Ni 0.0000 0.5000 0.8324
6 Ni 0.5000 0.5000 0.3339
7 Ni 0.0000 0.5000 0.1676
8 Ni 0.5000 0.0000 0.1676
9 Ni 0.5000 0.5000 0.0000
10 Ni 0.5000 0.0000 0.8324
11 Ni 0.5000 0.5000 0.6661
12 V 0.0000 0.0000 0.0000

Calculated values
* SG: P4/mmm (123)
* formation energy (no corrections): -0.376 eV/atom
* volume: 131 Å³/cell

No. 2
Below is a geometry-optimized VSi2Ni4 structure, with properties calculated at the PBE level.

a = 3.3924 Å, b = 3.3924 Å, c = 8.4666 Å
α = 101.56°, β = 101.56°, γ = 90.00°
Positions (direct):
1 Ni 0.7500 0.2500 0.5000
2 Ni 0.2500 0.7500 0.5000
3 Ni 0.1381 0.1381 0.2763
4 Ni 0.8619 0.8619 0.7237
5 V 0.0000 0.0000 0.0000
6 Si 0.6387 0.6387 0.2775
7 Si 0.3613 0.3613 0.7225

Calculated values
* SG: I4/mmm (139)
* formation energy (no corrections): 0.084 eV/atom
* volume: 93 Å³/cell
* energy above the lowest structure with this stoichiometry: 11.03 kcal/mol of atoms

No. 3
Below is a geometry-optimized VSiNi5 structure, with properties calculated at the PBE level.

a = 4.8357 Å, b = 4.8357 Å, c = 8.9414 Å
α = 64.60°, β = 64.60°, γ = 70.30°
Positions (direct):
1 Ni 0.1209 0.4219 0.2417
2 Ni 0.8791 0.5781 0.7583
3 Ni 0.5362 0.7328 0.0121
4 Ni 0.2672 0.4638 0.4879
5 Ni 0.9159 0.0841 0.7500
6 Ni 0.4638 0.2672 0.9879
7 Ni 0.0841 0.9159 0.2500
8 Ni 0.7328 0.5362 0.5121
9 Ni 0.5781 0.8791 0.2583
10 Ni 0.4219 0.1209 0.7417
11 V 0.3430 0.6570 0.7500
12 V 0.6570 0.3430 0.2500
13 Si 0.0000 0.0000 0.0000
14 Si 0.0000 0.0000 0.5000

Calculated values
* SG: C2/c (15)
* formation energy (no corrections): -0.072 eV/atom
* volume: 168 Å³/cell
* energy above the lowest structure with this stoichiometry: 4.70 kcal/mol of atoms

No. 4
Below is a geometry-optimized V2SiNi8 structure, with properties calculated at the PBE level.

a = 4.0710 Å, b = 5.1674 Å, c = 6.9050 Å
α = 111.94°, β = 107.14°, γ = 90.00°
Positions (direct):
1 V 0.8076 0.3079 0.6153
2 V 0.1924 0.6921 0.3847
3 Ni 0.1805 0.1806 0.3611
4 Ni 0.6393 0.8720 0.2786
5 Ni 0.0001 0.7423 0.0002
6 Ni 0.6391 0.4070 0.2781
7 Ni 0.3609 0.5930 0.7219
8 Ni 0.9999 0.2577 0.9998
9 Ni 0.8195 0.8194 0.6389
10 Ni 0.3607 0.1280 0.7214
11 Si 0.5000 0.0000 0.0000

Calculated values
* SG: Immm (71)
* formation energy (no corrections): -0.221 eV/atom
* volume: 128 Å³/cell

No. 5
Below is a geometry-optimized VSiNi2 structure, with properties calculated at the PBE level.

a = 2.6870 Å, b = 2.6870 Å, c = 6.4267 Å
α = 90.00°, β = 90.00°, γ = 90.00°
Positions (direct):
1 Si 0.5000 0.5000 0.0000
2 Ni 0.0000 0.0000 0.7835
3 Ni 0.0000 0.0000 0.2165
4 V 0.5000 0.5000 0.5000

Calculated values
* SG: P4/mmm (123)
* formation energy (no corrections): -0.319 eV/atom
* volume: 46 Å³/cell

No. 6
Below is a geometry-optimized VSi2Ni4 structure, with properties calculated at the PBE level.

a = 4.2980 Å, b = 4.2980 Å, c = 6.5146 Å
α = 70.74°, β = 70.74°, γ = 90.00°
Positions (direct):
1 Ni 0.0000 0.5000 0.0000
2 Ni 0.5000 0.0000 0.0000
3 Ni 0.8022 0.8022 0.3955
4 Ni 0.1978 0.1978 0.6045
5 Si 0.3923 0.3923 0.2154
6 Si 0.6077 0.6077 0.7846
7 V 0.0000 0.0000 0.0000

Calculated values
* SG: I4/mmm (139)
* formation energy (no corrections): 0.657 eV/atom
* volume: 106 Å³/cell
* energy above the lowest structure with this stoichiometry: 24.24 kcal/mol of atoms

No. 7
Below is a geometry-optimized VSiNi5 structure, with properties calculated at the PBE level.

a = 3.6205 Å, b = 3.6205 Å, c = 6.3086 Å
α = 90.00°, β = 90.00°, γ = 90.00°
Positions (direct):
1 Ni 0.0000 0.5000 0.7782
2 Ni 0.5000 0.5000 0.5000
3 Ni 0.5000 0.0000 0.2218
4 Ni 0.0000 0.5000 0.2218
5 Ni 0.5000 0.0000 0.7782
6 V 0.0000 0.0000 0.5000
7 Si 0.5000 0.5000 0.0000

Calculated values
* SG: P4/mmm (123)
* formation energy (no corrections): -0.276 eV/atom
* volume: 83 Å³/cell
* energy above the lowest structure with this stoichiometry: 0.00 kcal/mol of atoms

No. 8
Below is a geometry-optimized V2SiNi structure, with properties calculated at the PBE level.

a = 6.5893 Å, b = 6.5893 Å, c = 5.2696 Å
α = 51.30°, β = 51.30°, γ = 90.00°
Positions (direct):
1 V 0.3750 0.3648 0.7500
2 V 0.8750 0.8852 0.7500
3 V 0.1148 0.6250 0.2500
4 V 0.6352 0.1250 0.2500
5 Ni 0.7500 0.2500 0.5000
6 Ni 0.0000 0.0000 0.0000
7 Si 0.5000 0.5000 0.0000
8 Si 0.2500 0.7500 0.5000

Calculated values
* SG: I-42d (122)
* formation energy (no corrections): 0.076 eV/atom
* volume: 107 Å³/cell

Repeat the first record exactly.
Below is a geometry-optimized VSi2Ni9 structure, with properties calculated at the PBE level.

a = 3.5244 Å, b = 3.5244 Å, c = 10.5548 Å
α = 90.00°, β = 90.00°, γ = 90.00°
Positions (direct):
1 Si 0.0000 0.0000 0.6626
2 Si 0.0000 0.0000 0.3374
3 Ni 0.5000 0.0000 0.5000
4 Ni 0.0000 0.5000 0.5000
5 Ni 0.0000 0.5000 0.8324
6 Ni 0.5000 0.5000 0.3339
7 Ni 0.0000 0.5000 0.1676
8 Ni 0.5000 0.0000 0.1676
9 Ni 0.5000 0.5000 0.0000
10 Ni 0.5000 0.0000 0.8324
11 Ni 0.5000 0.5000 0.6661
12 V 0.0000 0.0000 0.0000

Calculated values
* SG: P4/mmm (123)
* formation energy (no corrections): -0.376 eV/atom
* volume: 131 Å³/cell

> Look up the formation energy (no corrections) of the seventh one.

-0.276 eV/atom

> What is the formation energy (no corrections) in the second record?

0.084 eV/atom

> What is the formation energy (no corrections) in the fifth record?

-0.319 eV/atom